No. 1
The following is a DFT calculation (PBE-GGA) of a geometry-optimized Sm4DyEr4 structure.

abc: 7.9737 7.9737 7.9737
angles: 95.71 95.71 143.23
Element x y z (fractional)
1 Sm 0.0000 0.3313 0.3313
2 Sm 0.0000 0.6687 0.6687
3 Sm 0.3313 0.0000 0.3313
4 Sm 0.6687 0.0000 0.6687
5 Dy 0.0000 0.0000 0.0000
6 Er 0.3339 0.3339 0.6679
7 Er 0.3339 0.6661 0.0000
8 Er 0.6661 0.3339 0.0000
9 Er 0.6661 0.6661 0.3321

Properties
For the magnetic moment, the calculation gives 0.000 μB per atom. The calculation puts the offset from the most stable computed form at 0.000 eV per atom. The energy of formation is 20.7 meV per atom. Its crystal system is tetragonal. For the density of states at the Fermi level, the calculation gives 13.18 states/eV per cell.

---

No. 2
The following is a DFT calculation (PBE-GGA) of a geometry-optimized Ac2Ce3NpN6 structure.

abc: 6.3757 6.3757 6.2962
angles: 99.78 99.78 120.15
Element x y z (fractional)
1 Ac 0.1671 0.8329 0.0000
2 Ac 0.8329 0.1671 0.0000
3 Ce 0.0000 0.0000 0.5000
4 Ce 0.3389 0.6611 0.5000
5 Ce 0.6611 0.3389 0.5000
6 Np 0.5000 0.5000 0.0000
7 N 0.1265 0.4153 0.7480
8 N 0.2834 0.2834 0.2674
9 N 0.4153 0.1265 0.7480
10 N 0.5847 0.8735 0.2520
11 N 0.7166 0.7166 0.7326
12 N 0.8735 0.5847 0.2520

Properties
For the magnetic moment, the calculation gives 0.379 μB per atom. Its calculated total energy is -8.648 eV per atom. Its crystal system is monoclinic. For the density of states at the Fermi level, the calculation gives 16.42 states/eV per cell.

---

No. 3
The following is a DFT calculation (PBE-GGA) of a geometry-optimized Re2Os5 structure.

abc: 9.1974 9.1974 9.1974
angles: 162.85 153.10 32.07
Element x y z (fractional)
1 Re 0.1453 0.1453 0.0000
2 Re 0.8547 0.8547 0.0000
3 Os 0.0000 0.5000 0.5000
4 Os 0.2947 0.2947 0.0000
5 Os 0.4298 0.9298 0.5000
6 Os 0.5702 0.0702 0.5000
7 Os 0.7053 0.7053 0.0000

Properties
For the magnetic moment, the calculation gives 0.000 μB per atom. The calculation puts the offset from the most stable computed form at 0.129 eV per atom. The energy of formation is 213.6 meV per atom. Its crystal system is orthorhombic. For the density of states at the Fermi level, the calculation gives 7.26 states/eV per cell.

---

No. 4
The following is a DFT calculation (PBE-GGA) of a geometry-optimized ScMn3 structure.

abc: 4.7404 4.7404 4.8051
angles: 100.04 100.04 34.77
Element x y z (fractional)
1 Sc 0.0000 0.0000 0.0000
2 Mn 0.2423 0.2423 0.7213
3 Mn 0.5000 0.5000 0.5000
4 Mn 0.7577 0.7577 0.2787

Properties
For the magnetic moment, the calculation gives 2.088 μB per atom. The energy of formation is 328.3 meV per atom. Its crystal system is monoclinic. For the density of states at the Fermi level, the calculation gives 5.21 states/eV per cell.

---

No. 5
The following is a DFT calculation (PBE-GGA) of a geometry-optimized Mg6NbCd structure.

abc: 4.9392 6.2933 6.2933
angles: 59.86 90.00 90.00
Element x y z (fractional)
1 Mg 0.0000 0.0000 0.0000
2 Mg 0.0000 0.5054 0.9873
3 Mg 0.0000 0.9873 0.5054
4 Mg 0.5000 0.1665 0.6633
5 Mg 0.5000 0.1672 0.1672
6 Mg 0.5000 0.6633 0.1665
7 Nb 0.5000 0.6668 0.6668
8 Cd 0.0000 0.5069 0.5069

Properties
For the magnetic moment, the calculation gives 0.000 μB per atom. The calculation puts the offset from the most stable computed form at 0.004 eV per atom. The energy of formation is 114.8 meV per atom. Its crystal system is orthorhombic. For the density of states at the Fermi level, the calculation gives 3.37 states/eV per cell.

---

No. 6
The following is a DFT calculation (PBE-GGA) of a geometry-optimized AgGePt2Pb structure.

abc: 5.1182 5.1182 5.2686
angles: 90.00 90.00 90.00
Element x y z (fractional)
1 Ag 0.0000 0.0000 0.0000
2 Ge 0.5000 0.5000 0.0000
3 Pt 0.0000 0.5000 0.5000
4 Pt 0.5000 0.0000 0.5000
5 Pb 0.5000 0.5000 0.5000

Properties
For the magnetic moment, the calculation gives 0.000 μB per atom. The energy of formation is 1126.9 meV per atom. Its crystal system is tetragonal. For the density of states at the Fermi level, the calculation gives 3.82 states/eV per cell.

---

No. 7
The following is a DFT calculation (PBE-GGA) of a geometry-optimized ThRh2 structure.

abc: 3.6837 3.6837 4.8395
angles: 109.36 109.36 89.97
Element x y z (fractional)
1 Th 0.0000 0.0000 0.0000
2 Rh 0.3186 0.3186 0.6642
3 Rh 0.6814 0.6814 0.3358

Properties
For the magnetic moment, the calculation gives 0.000 μB per atom. The energy of formation is -638.4 meV per atom. Its crystal system is monoclinic. For the density of states at the Fermi level, the calculation gives 1.74 states/eV per cell.

---

No. 8
The following is a DFT calculation (PBE-GGA) of a geometry-optimized Ce3BO6 structure.

abc: 7.2574 7.2574 5.3943
angles: 90.00 90.00 103.01
Element x y z (fractional)
1 Ce 0.1103 0.8897 0.5000
2 Ce 0.2028 0.4241 0.4643
3 Ce 0.4241 0.2028 0.9643
4 Ce 0.5759 0.7972 0.4643
5 Ce 0.7972 0.5759 0.9643
6 Ce 0.8897 0.1103 0.0000
7 B 0.3073 0.6927 0.9135
8 B 0.6927 0.3073 0.4135
9 O 0.1119 0.6177 0.7973
10 O 0.1502 0.1695 0.7266
11 O 0.1695 0.1502 0.2266
12 O 0.2943 0.7057 0.1896
13 O 0.3823 0.8881 0.7973
14 O 0.4337 0.5663 0.8224
15 O 0.5663 0.4337 0.3224
16 O 0.6177 0.1119 0.2973
17 O 0.7057 0.2943 0.6896
18 O 0.8305 0.8498 0.7266
19 O 0.8498 0.8305 0.2266
20 O 0.8881 0.3823 0.2973

Properties
For the magnetic moment, the calculation gives 0.300 μB per atom. Its calculated total energy is -8.493 eV per atom. Its crystal system is orthorhombic. For the density of states at the Fermi level, the calculation gives 30.10 states/eV per cell.

---

No. 9
The following is a DFT calculation (PBE-GGA) of a geometry-optimized SrLa2SbW structure.

abc: 5.6051 5.6051 5.4396
angles: 90.00 90.00 90.00
Element x y z (fractional)
1 Sr 0.0000 0.0000 0.0000
2 La 0.0000 0.5000 0.5000
3 La 0.5000 0.0000 0.5000
4 Sb 0.5000 0.5000 0.0000
5 W 0.5000 0.5000 0.5000

Properties
For the magnetic moment, the calculation gives 0.000 μB per atom. Its calculated total energy is -5.564 eV per atom. Its crystal system is tetragonal. For the density of states at the Fermi level, the calculation gives 3.35 states/eV per cell.

---

No. 10
The following is a DFT calculation (PBE-GGA) of a geometry-optimized CsHg2Cl7 structure.

abc: 8.6422 8.6422 5.2197
angles: 90.00 90.00 125.87
Element x y z (fractional)
1 Cs 0.0000 0.0000 0.0000
2 Hg 0.2540 0.7460 0.5000
3 Hg 0.7460 0.2540 0.5000
4 Cl 0.1154 0.3709 0.5000
5 Cl 0.2371 0.7629 0.0000
6 Cl 0.3709 0.1154 0.5000
7 Cl 0.5000 0.5000 0.5000
8 Cl 0.6291 0.8846 0.5000
9 Cl 0.7629 0.2371 0.0000
10 Cl 0.8846 0.6291 0.5000

Properties
For the magnetic moment, the calculation gives 0.135 μB per atom. Its calculated total energy is -2.037 eV per atom. Its crystal system is orthorhombic. For the density of states at the Fermi level, the calculation gives 4.38 states/eV per cell.

---

No. 11
The following is a DFT calculation (PBE-GGA) of a geometry-optimized Na12In2Sn structure.

abc: 6.6318 6.6318 23.8740
angles: 90.00 90.00 90.00
Element x y z (fractional)
1 Na 0.0000 0.0000 0.0890
2 Na 0.0000 0.0000 0.9110
3 Na 0.0000 0.5000 0.0890
4 Na 0.0000 0.5000 0.9110
5 Na 0.0746 0.5746 0.4338
6 Na 0.0746 0.9254 0.5662
7 Na 0.2500 0.2500 0.2076
8 Na 0.2500 0.2500 0.3326
9 Na 0.2500 0.2500 0.6674
10 Na 0.2500 0.2500 0.7924
11 Na 0.4254 0.5746 0.5662
12 Na 0.4254 0.9254 0.4338
13 Na 0.5000 0.0000 0.0890
14 Na 0.5000 0.0000 0.9110
15 Na 0.5000 0.5000 0.0890
16 Na 0.5000 0.5000 0.9110
17 Na 0.5746 0.0746 0.5662
18 Na 0.5746 0.4254 0.4338
19 Na 0.7500 0.7500 0.2076
20 Na 0.7500 0.7500 0.3326
21 Na 0.7500 0.7500 0.6674
22 Na 0.7500 0.7500 0.7924
23 Na 0.9254 0.0746 0.4338
24 Na 0.9254 0.4254 0.5662
25 In 0.2500 0.7500 0.2822
26 In 0.2500 0.7500 0.7178
27 In 0.7500 0.2500 0.2822
28 In 0.7500 0.2500 0.7178
29 Sn 0.2500 0.7500 0.0000
30 Sn 0.7500 0.2500 0.0000

Properties
For the magnetic moment, the calculation gives 0.000 μB per atom. The energy of formation is 90.1 meV per atom. Its crystal system is tetragonal. For the density of states at the Fermi level, the calculation gives 14.88 states/eV per cell.